(1)
A plane-wave DFT calculation with PBE was carried out for a relaxed structure of K2CdIn12Ni3.

Output
Space group = R-3m
Formation enthalpy at 0 K = 0.032 eV/atom
DOS at the Fermi energy = 6.143 states/eV/cell

CIF file:
```
data_K2CdIn12Ni3
_symmetry_space_group_name_H-M 'P 1'
_symmetry_Int_Tables_number 1
_symmetry_space_group_name_Hall 'P 1'
_cell_length_a 8.785
_cell_length_b 8.785
_cell_length_c 8.785
_cell_angle_alpha 67.08
_cell_angle_beta 67.08
_cell_angle_gamma 67.08
loop_
_atom_site_label
_atom_site_fract_x
_atom_site_fract_y
_atom_site_fract_z
_atom_site_occupancy
Cd1 0.000 0.000 0.000 1
Ni1 0.000 0.500 0.000 1
Ni2 0.000 0.000 0.500 1
Ni3 0.500 0.000 0.000 1
K1 0.408 0.408 0.408 1
K2 0.592 0.592 0.592 1
In1 0.272 0.272 0.923 1
In2 0.272 0.923 0.272 1
In3 0.133 0.612 0.133 1
In4 0.867 0.867 0.388 1
In5 0.077 0.728 0.728 1
In6 0.867 0.388 0.867 1
In7 0.133 0.133 0.612 1
In8 0.612 0.133 0.133 1
In9 0.388 0.867 0.867 1
In10 0.923 0.272 0.272 1
In11 0.728 0.728 0.077 1
In12 0.728 0.077 0.728 1
```

(2)
A plane-wave DFT calculation with PBE was carried out for a relaxed structure of Dy5Er2Mg.

Output
ΔE to the lowest computed polymorph = 0.015 eV per atom
Space group = Cm
Formation enthalpy at 0 K = 0.019 eV/atom
DOS at the Fermi energy = 8.357 states/eV/cell

CIF file:
```
data_Dy5Er2Mg
_symmetry_space_group_name_H-M 'P 1'
_symmetry_Int_Tables_number 1
_symmetry_space_group_name_Hall 'P 1'
_cell_length_a 9.865
_cell_length_b 7.008
_cell_length_c 6.986
_cell_angle_alpha 120.12
_cell_angle_beta 134.88
_cell_angle_gamma 90.04
loop_
_atom_site_label
_atom_site_fract_x
_atom_site_fract_y
_atom_site_fract_z
_atom_site_occupancy
Dy1 0.223 0.222 0.944 1
Dy2 0.722 0.723 0.444 1
Dy3 0.222 0.722 0.944 1
Dy4 0.721 0.222 0.944 1
Dy5 0.723 0.722 0.945 1
Er1 0.722 0.222 0.444 1
Er2 0.222 0.721 0.444 1
Mg1 0.222 0.222 0.444 1
```

(3)
A plane-wave DFT calculation with PBE was carried out for a relaxed structure of NaC2.

Output
ΔE to the lowest computed polymorph = 0.000 eV per atom
Space group = P4_332
Formation enthalpy at 0 K = 1.136 eV/atom
DOS at the Fermi energy = 1.876 states/eV/cell

CIF file:
```
data_NaC2
_symmetry_space_group_name_H-M 'P 1'
_symmetry_Int_Tables_number 1
_symmetry_space_group_name_Hall 'P 1'
_cell_length_a 4.622
_cell_length_b 4.622
_cell_length_c 4.622
_cell_angle_alpha 90.00
_cell_angle_beta 90.00
_cell_angle_gamma 90.00
loop_
_atom_site_label
_atom_site_fract_x
_atom_site_fract_y
_atom_site_fract_z
_atom_site_occupancy
C1 0.399 0.399 0.399 1
C2 0.351 0.649 0.149 1
C3 0.649 0.149 0.351 1
C4 0.851 0.851 0.851 1
C5 0.601 0.899 0.101 1
C6 0.101 0.601 0.899 1
C7 0.899 0.101 0.601 1
C8 0.149 0.351 0.649 1
Na1 0.375 0.875 0.625 1
Na2 0.125 0.125 0.125 1
Na3 0.625 0.375 0.875 1
Na4 0.875 0.625 0.375 1
```

(4)
A plane-wave DFT calculation with PBE was carried out for a relaxed structure of DyMgCu.

Output
Space group = F-43m
Formation enthalpy at 0 K = -0.037 eV/atom
DOS at the Fermi energy = 3.263 states/eV/cell

CIF file:
```
data_DyMgCu
_symmetry_space_group_name_H-M 'P 1'
_symmetry_Int_Tables_number 1
_symmetry_space_group_name_Hall 'P 1'
_cell_length_a 4.649
_cell_length_b 4.649
_cell_length_c 4.649
_cell_angle_alpha 60.00
_cell_angle_beta 60.00
_cell_angle_gamma 60.00
loop_
_atom_site_label
_atom_site_fract_x
_atom_site_fract_y
_atom_site_fract_z
_atom_site_occupancy
Dy1 0.000 0.000 0.000 1
Cu1 0.250 0.250 0.250 1
Mg1 0.500 0.500 0.500 1
```

(5)
A plane-wave DFT calculation with PBE was carried out for a relaxed structure of La5PmCd4.

Output
Space group = P4/mmm
Formation enthalpy at 0 K = -0.254 eV/atom
DOS at the Fermi energy = 12.863 states/eV/cell

CIF file:
```
data_La5PmCd4
_symmetry_space_group_name_H-M 'P 1'
_symmetry_Int_Tables_number 1
_symmetry_space_group_name_Hall 'P 1'
_cell_length_a 3.885
_cell_length_b 3.885
_cell_length_c 20.979
_cell_angle_alpha 90.00
_cell_angle_beta 90.00
_cell_angle_gamma 90.00
loop_
_atom_site_label
_atom_site_fract_x
_atom_site_fract_y
_atom_site_fract_z
_atom_site_occupancy
Pm1 0.000 0.000 0.000 1
La1 0.500 0.500 0.118 1
La2 0.500 0.500 0.882 1
La3 0.500 0.500 0.309 1
La4 0.500 0.500 0.500 1
La5 0.500 0.500 0.691 1
Cd1 0.000 0.000 0.595 1
Cd2 0.000 0.000 0.212 1
Cd3 0.000 0.000 0.405 1
Cd4 0.000 0.000 0.788 1
```

(6)
A plane-wave DFT calculation with PBE was carried out for a relaxed structure of SiBr2N.

Output
Formation energy from raw total energies = 1.096 eV/atom
ΔE to the lowest computed polymorph = 0.000 eV per atom
Space group = R-3m
DOS at the Fermi energy = 0.000 states/eV/cell

CIF file:
```
data_SiBr2N
_symmetry_space_group_name_H-M 'P 1'
_symmetry_Int_Tables_number 1
_symmetry_space_group_name_Hall 'P 1'
_cell_length_a 10.341
_cell_length_b 10.341
_cell_length_c 10.341
_cell_angle_alpha 22.12
_cell_angle_beta 22.12
_cell_angle_gamma 22.12
loop_
_atom_site_label
_atom_site_fract_x
_atom_site_fract_y
_atom_site_fract_z
_atom_site_occupancy
Br1 0.886 0.886 0.886 1
Br2 0.114 0.114 0.114 1
N1 0.000 0.000 0.000 1
Si1 0.500 0.500 0.500 1
```